(1)
Material: CaCeSn
Method: DFT, GGA-PBE
State: relaxed

Properties
Total DFT energy (no corrections), eV/atom: -4.454
M_tot, μB per cell: 1.27

a = 7.808 Å, b = 7.808 Å, c = 5.304 Å
α = 90.00°, β = 90.00°, γ = 120.00°
Atoms (fractional coordinates):
1 Ca 0.000 0.436 0.000
2 Ca 0.436 0.000 0.000
3 Ca 0.564 0.564 0.000
4 Ce 0.000 0.794 0.500
5 Ce 0.206 0.206 0.500
6 Ce 0.794 0.000 0.500
7 Sn 0.000 0.000 0.000
8 Sn 0.333 0.667 0.500
9 Sn 0.667 0.333 0.500


(2)
Material: Ca2CeSn
Method: DFT, GGA-PBE
State: relaxed

Properties
Total DFT energy (no corrections), eV/atom: -3.776
M_tot, μB per cell: 1.40

a = 4.922 Å, b = 4.922 Å, c = 5.175 Å
α = 90.00°, β = 90.00°, γ = 90.00°
Atoms (fractional coordinates):
1 Ca 0.000 0.500 0.000
2 Ca 0.500 0.000 0.000
3 Ce 0.000 0.000 0.500
4 Sn 0.500 0.500 0.500


(3)
Material: Ca2CeSn
Method: DFT, GGA-PBE
State: relaxed

Properties
Total DFT energy (no corrections), eV/atom: -3.552
M_tot, μB per cell: 3.57

a = 5.572 Å, b = 5.572 Å, c = 5.572 Å
α = 60.00°, β = 60.00°, γ = 60.00°
Atoms (fractional coordinates):
1 Ca 0.250 0.250 0.250
2 Ca 0.750 0.750 0.750
3 Ce 0.000 0.000 0.000
4 Sn 0.500 0.500 0.500


(4)
Material: CaCe3Sn5
Method: DFT, GGA-PBE
State: relaxed

Properties
Total DFT energy (no corrections), eV/atom: -4.990
M_tot, μB per cell: 2.97

a = 9.441 Å, b = 9.441 Å, c = 6.522 Å
α = 90.00°, β = 90.00°, γ = 120.00°
Atoms (fractional coordinates):
1 Ca 0.000 0.000 0.000
2 Ca 0.000 0.000 0.500
3 Ce 0.000 0.380 0.250
4 Ce 0.000 0.620 0.750
5 Ce 0.380 0.000 0.250
6 Ce 0.380 0.380 0.750
7 Ce 0.620 0.000 0.750
8 Ce 0.620 0.620 0.250
9 Sn 0.000 0.291 0.750
10 Sn 0.000 0.709 0.250
11 Sn 0.291 0.000 0.750
12 Sn 0.291 0.291 0.250
13 Sn 0.333 0.667 0.000
14 Sn 0.333 0.667 0.500
15 Sn 0.667 0.333 0.000
16 Sn 0.667 0.333 0.500
17 Sn 0.709 0.000 0.250
18 Sn 0.709 0.709 0.750


(5)
Material: CaCeSn2
Method: DFT, GGA-PBE
State: relaxed

Properties
Total DFT energy (no corrections), eV/atom: -4.583
M_tot, μB per cell: 1.11

a = 3.495 Å, b = 3.495 Å, c = 9.125 Å
α = 90.00°, β = 90.00°, γ = 90.00°
Atoms (fractional coordinates):
1 Ca 0.000 0.000 0.000
2 Ce 0.000 0.000 0.500
3 Sn 0.500 0.500 0.249
4 Sn 0.500 0.500 0.751


(6)
Material: CaCeSn2
Method: DFT, GGA-PBE
State: relaxed

Properties
Total DFT energy (no corrections), eV/atom: -4.582
M_tot, μB per cell: 0.80

a = 5.053 Å, b = 5.053 Å, c = 4.424 Å
α = 90.00°, β = 90.00°, γ = 90.00°
Atoms (fractional coordinates):
1 Ca 0.000 0.000 0.000
2 Ce 0.500 0.500 0.000
3 Sn 0.000 0.500 0.500
4 Sn 0.500 0.000 0.500


(7)
Material: CaCeSn2
Method: DFT, GGA-PBE
State: relaxed

Properties
Total DFT energy (no corrections), eV/atom: -4.587
M_tot, μB per cell: 1.12

a = 4.377 Å, b = 6.305 Å, c = 6.305 Å
α = 44.21°, β = 90.00°, γ = 90.00°
Atoms (fractional coordinates):
1 Ca 0.000 0.000 0.000
2 Ce 0.500 0.269 0.269
3 Sn 0.000 0.723 0.723
4 Sn 0.500 0.547 0.547


(8)
Material: CaCeZnSn
Method: DFT, GGA-PBE
State: relaxed

Properties
Total DFT energy (no corrections), eV/atom: -3.731
M_tot, μB per cell: 1.14

a = 5.326 Å, b = 5.326 Å, c = 5.326 Å
α = 60.00°, β = 60.00°, γ = 60.00°
Atoms (fractional coordinates):
1 Ca 0.000 0.000 0.000
2 Ce 0.500 0.500 0.500
3 Zn 0.250 0.250 0.250
4 Sn 0.750 0.750 0.750


(9)
Material: Sr2CaCe
Method: DFT, GGA-PBE
State: relaxed

Properties
Total DFT energy (no corrections), eV/atom: -2.496
M_tot, μB per cell: 2.00

a = 14.130 Å, b = 14.130 Å, c = 14.130 Å
α = 15.61°, β = 15.61°, γ = 15.61°
Atoms (fractional coordinates):
1 Sr 0.086 0.086 0.086
2 Sr 0.914 0.914 0.914
3 Ca 0.500 0.500 0.500
4 Ce 0.000 0.000 0.000


(10)
Material: SrCa2CeTe4
Method: DFT, GGA-PBE
State: relaxed

Properties
Raw formation energy, meV per atom: -1556
M_tot, μB per cell: 1.46

a = 7.935 Å, b = 4.551 Å, c = 7.950 Å
α = 90.00°, β = 109.34°, γ = 90.00°
Atoms (fractional coordinates):
1 Sr 0.000 0.000 0.000
2 Ca 0.500 0.000 0.500
3 Ca 0.500 0.500 0.000
4 Ce 0.000 0.500 0.500
5 Te 0.257 0.000 0.749
6 Te 0.260 0.500 0.258
7 Te 0.740 0.500 0.742
8 Te 0.743 0.000 0.251


(11)
Material: SrCa2CeTl4
Method: DFT, GGA-PBE
State: relaxed

Properties
Total DFT energy (no corrections), eV/atom: -3.017
M_tot, μB per cell: 1.13

a = 9.679 Å, b = 9.679 Å, c = 9.679 Å
α = 33.53°, β = 33.53°, γ = 33.53°
Atoms (fractional coordinates):
1 Sr 0.000 0.000 0.000
2 Ca 0.251 0.251 0.251
3 Ca 0.749 0.749 0.749
4 Ce 0.500 0.500 0.500
5 Tl 0.127 0.127 0.127
6 Tl 0.378 0.378 0.378
7 Tl 0.622 0.622 0.622
8 Tl 0.873 0.873 0.873


(12)
Material: CaTbCe
Method: DFT, GGA-PBE
State: relaxed

Properties
Total DFT energy (no corrections), eV/atom: -4.038
M_tot, μB per cell: 0.97

a = 8.384 Å, b = 8.384 Å, c = 8.384 Å
α = 155.37°, β = 155.37°, γ = 35.11°
Atoms (fractional coordinates):
1 Ca 0.000 0.000 0.000
2 Tb 0.676 0.676 0.000
3 Ce 0.324 0.324 0.000